1.
{"formula": "SiAg2Br", "functional": "SCAN", "state": "single point on PBEsol structure", "crystal_system": "tetragonal", "e_form_raw_ev_per_atom": 0.257, "e_tot_ev_per_atom": -22.795, "lattice": [[-3.333, 3.333, 4.142], [3.333, -3.333, 4.142], [3.333, 3.333, -4.142]], "species": ["Si", "Si", "Ag", "Ag", "Ag", "Ag", "Br", "Br"], "frac_coords": [[0.000, 0.000, 0.000], [0.750, 0.250, 0.500], [0.091, 0.125, 0.466], [0.375, 0.909, 0.034], [0.659, 0.625, 0.534], [0.875, 0.341, 0.966], [0.250, 0.750, 0.500], [0.500, 0.500, 0.000]]}



2.
{"formula": "SiAg2Br", "functional": "SCAN", "state": "single point on PBEsol structure", "crystal_system": "orthorhombic", "e_form_raw_ev_per_atom": 0.232, "e_tot_ev_per_atom": -22.821, "lattice": [[3.228, 0.000, 0.000], [0.000, 3.248, 0.000], [0.000, 0.000, 7.460]], "species": ["Si", "Ag", "Ag", "Br"], "frac_coords": [[0.000, 0.000, 0.000], [0.500, 0.500, 0.200], [0.500, 0.500, 0.800], [0.000, 0.500, 0.500]]}